No. 1
Hg2TeO: optimized geometry, PBE-GGA.

Lattice parameters (Å, degrees): 7.0206 7.0206 7.0206 90.00 90.00 90.00
Space group Fm-3m (No. 225)
Unique sites:
Hg1 0.2500 0.2500 0.2500 x8
Te1 0.0000 0.0000 0.0000 x4
O1 0.0000 0.0000 0.5000 x4

Results
As for the final energy: -7.00 eV per formula unit. For the offset from the most stable computed form, the calculation gives 0.554 eV per atom. The total moment comes out at 3.390 Bohr magnetons per cell. The calculation puts the uncorrected formation energy at 427 meV per atom. The calculation puts the density of states at the Fermi level at 4.84 states/eV/f.u.

---

No. 2
HgTe2O5: optimized geometry, PBE-GGA.

Lattice parameters (Å, degrees): 3.1602 5.8373 12.6726 90.00 90.00 90.00
Space group Immm (No. 71)
Unique sites:
Hg1 0.0000 0.0000 0.0000 x2
Te1 0.0000 0.5000 0.1527 x4
O1 0.0000 0.2444 0.3655 x8
O2 0.0000 0.5000 0.0000 x2

Results
As for the final energy: -35.59 eV per formula unit. The total moment comes out at 0.000 Bohr magnetons per cell. The calculation puts the uncorrected formation energy at -526 meV per atom. The calculation puts the density of states at the Fermi level at 3.60 states/eV/f.u.

---

- Among the records above, which one has the lowest total moment?
  HgTe2O5